# MgNiPO2

A relaxed structure of MgNiPO2 (PBE+U, Alexandria).

Cell lengths 3.756, 3.756, 4.598 Å; angles 90.00, 90.00, 90.00 degrees
Space group P4/mmm (No. 123)
Inequivalent atoms, fractional coordinates:
Mg 0.000 0.000 0.000
Ni 0.500 0.500 0.500
P 0.500 0.500 0.000
O 0.000 0.500 0.500

crystal system	tetragonal
calculated total energy	-4.0306	eV per atom
Fermi-level density of states	3.2	states/eV/f.u.